DyPu2 | GGA-PBE | optimized geometry

It has space group Fd-3m (No. 227, origin choice 2), with a = 8.705 Å, b = 8.705 Å, c = 8.705 Å, α = 90.00°, β = 90.00° and γ = 90.00°. Symmetry generates all atoms from Dy at (0.125, 0.125, 0.125) and Pu at (0.000, 0.000, 0.500).

The value obtained for the density is 13102 kg/m3. As for the energy of formation: 0.23 eV/atom.

Dy4Pu | GGA-PBE | optimized geometry

It has space group Pm-3m (No. 221), with a = 5.526 Å, b = 5.526 Å, c = 5.526 Å, α = 90.00°, β = 90.00° and γ = 90.00°. Symmetry generates all atoms from Dy at (0.000, 0.000, 0.000), Dy at (0.000, 0.500, 0.500) and Pu at (0.500, 0.500, 0.500).

The value obtained for the density is 8796 kg/m3. As for the energy of formation: 0.53 eV/atom.

Dy8Pu | GGA-PBE | optimized geometry

It has space group I4/mmm (No. 139), with a = 10.566 Å, b = 10.566 Å, c = 4.983 Å, α = 90.00°, β = 90.00° and γ = 90.00°. Symmetry generates all atoms from Dy at (0.000, 0.331, 0.000), Dy at (0.165, 0.165, 0.500) and Pu at (0.000, 0.000, 0.000).

The value obtained for the density is 9217 kg/m3. As for the energy of formation: 0.05 eV/atom.

Dy3Pu | GGA-PBE | optimized geometry

It has space group Imm2 (No. 44), with a = 3.513 Å, b = 11.327 Å, c = 6.140 Å, α = 90.00°, β = 90.00° and γ = 90.00°. Symmetry generates all atoms from Dy at (0.000, 0.000, 0.000), Dy at (0.000, 0.247, 0.663) and Pu at (0.000, 0.500, 0.992).

The value obtained for the density is 9942 kg/m3. As for the energy of formation: 0.09 eV/atom.

DyPu3 | GGA-PBE | optimized geometry

It has space group Pmm2 (No. 25), with a = 3.547 Å, b = 5.230 Å, c = 5.407 Å, α = 90.00°, β = 90.00° and γ = 90.00°. Symmetry generates all atoms from Dy at (0.000, 0.000, 0.000), Pu at (0.000, 0.500, 0.433), Pu at (0.500, 0.000, 0.488) and Pu at (0.500, 0.500, 0.769).

The value obtained for the density is 14806 kg/m3. As for the energy of formation: 0.27 eV/atom.

Dy3Pu | GGA-PBE | optimized geometry

It has space group I4/mmm (No. 139), with a = 4.930 Å, b = 4.930 Å, c = 9.952 Å, α = 90.00°, β = 90.00° and γ = 90.00°. Symmetry generates all atoms from Dy at (0.000, 0.000, 0.000), Dy at (0.000, 0.500, 0.250) and Pu at (0.000, 0.000, 0.500).

The value obtained for the density is 10045 kg/m3. As for the energy of formation: 0.12 eV/atom.

Q: What is the formula in the sixth record?
A: Dy3Pu

Q: Which of these has the lowest density?
A: Dy4Pu

Please write out number 4 again, unchanged.
Dy3Pu | GGA-PBE | optimized geometry

It has space group Imm2 (No. 44), with a = 3.513 Å, b = 11.327 Å, c = 6.140 Å, α = 90.00°, β = 90.00° and γ = 90.00°. Symmetry generates all atoms from Dy at (0.000, 0.000, 0.000), Dy at (0.000, 0.247, 0.663) and Pu at (0.000, 0.500, 0.992).

The value obtained for the density is 9942 kg/m3. As for the energy of formation: 0.09 eV/atom.

Q: Among the records above, which one has the highest density?
A: DyPu3